[1]
{"formula": "AsHRh", "functional": "PBE-GGA", "state": "optimized geometry", "cell": [[-2.0598, 2.2189, -0.8557], [-2.1266, -4.2703, -5.9541], [-0.2066, -3.6273, 2.6753]], "species": ["H", "H", "As", "As", "Rh", "Rh"], "fractional_positions": [[0.0000, 0.2575, 0.5000], [0.0000, 0.7575, 0.0000], [0.0000, 0.9249, 0.5000], [0.0000, 0.4249, 0.0000], [0.5000, 0.1779, 0.0000], [0.5000, 0.6779, 0.5000]], "magmom_total_mub_per_atom": 0.000, "e_above_lowest_polymorph_ev_per_fu": 0.10, "total_energy_ev_per_atom": -5.269, "crystal_system": "orthorhombic", "space_group": "No. 44"}

***

[2]
{"formula": "VTcBr", "functional": "PBE-GGA", "state": "optimized geometry", "cell": [[-0.5962, 2.1113, 2.3111], [-5.9700, 2.1087, -1.2758], [-0.3706, -3.1161, 0.5541]], "species": ["Tc", "Br", "V"], "fractional_positions": [[0.6125, 0.2308, 0.9308], [0.7604, 0.7898, 0.7834], [0.1969, 0.4779, 0.3465]], "magmom_total_mub_per_atom": 0.000, "e_above_lowest_polymorph_ev_per_fu": 0.00, "formation_energy_uncorrected_mev_per_atom": 51.1, "total_energy_ev_per_atom": -7.001, "crystal_system": "trigonal", "space_group": "No. 160"}

***

[3]
{"formula": "Ac2TbTe5", "functional": "PBE-GGA", "state": "optimized geometry", "cell": [[8.0347, 1.2687, 0.0830], [1.2708, 8.0311, 0.0968], [-4.5836, -4.5893, 4.5888]], "species": ["Ac", "Ac", "Te", "Te", "Te", "Te", "Te", "Tb"], "fractional_positions": [[0.8039, 0.3496, 0.6188], [0.3499, 0.8038, 0.6187], [0.8409, 0.8407, 0.1679], [0.5370, 0.1830, 0.7052], [0.7265, 0.7268, 0.5141], [0.1826, 0.5371, 0.7049], [0.2653, 0.2650, 0.0760], [0.0709, 0.0711, 0.1484]], "magmom_total_mub_per_atom": 0.000, "formation_energy_uncorrected_mev_per_atom": -1264.1, "total_energy_ev_per_atom": -4.834, "crystal_system": "monoclinic", "space_group": "No. 8"}

***

[4]
{"formula": "ReAg2W", "functional": "PBE-GGA", "state": "optimized geometry", "cell": [[4.9082, 0.0000, 0.0000], [0.0000, 2.6721, 0.0584], [0.0000, 0.7535, 5.0470]], "species": ["Ag", "Ag", "W", "Re"], "fractional_positions": [[0.0000, 0.0087, 0.0009], [0.0000, 0.4913, 0.4991], [0.5000, 0.7500, 0.7500], [0.5000, 0.2500, 0.2500]], "magmom_total_mub_per_atom": 0.000, "e_above_lowest_polymorph_ev_per_fu": 1.25, "total_energy_ev_per_atom": -7.108, "crystal_system": "monoclinic", "formation_energy_ev_per_atom": 0.668, "space_group": "No. 10"}

***

[5]
{"formula": "SiAgRh4", "functional": "PBE-GGA", "state": "optimized geometry", "cell": [[4.7447, -0.4730, -1.8747], [2.5838, -4.3774, 0.6425], [0.8768, -3.0691, -4.0077]], "species": ["Ag", "Si", "Rh", "Rh", "Rh", "Rh"], "fractional_positions": [[0.0000, 0.0000, 0.0000], [0.7500, 0.7500, 0.7500], [0.8743, 0.3752, 0.3752], [0.3752, 0.3752, 0.3752], [0.3752, 0.3752, 0.8743], [0.3752, 0.8743, 0.3752]], "magmom_total_mub_per_atom": 0.002, "formation_energy_uncorrected_mev_per_atom": 398.8, "total_energy_ev_per_atom": -5.881, "crystal_system": "cubic", "space_group": "No. 216"}

***

[6]
{"formula": "Sr2CdSnHg6", "functional": "PBE-GGA", "state": "optimized geometry", "cell": [[7.3933, -0.9150, -1.9357], [-0.9503, 7.4484, 1.8764], [1.8664, 4.2054, 5.7960]], "species": ["Hg", "Hg", "Hg", "Hg", "Hg", "Hg", "Sr", "Sr", "Sn", "Cd"], "fractional_positions": [[0.3266, 0.8307, 0.9845], [0.0701, 0.2512, 0.1868], [0.6734, 0.1693, 0.0155], [0.3094, 0.3390, 0.5142], [0.9299, 0.7488, 0.8132], [0.6906, 0.6610, 0.4858], [0.2573, 0.7691, 0.5047], [0.7427, 0.2309, 0.4953], [0.5000, 0.5000, 0.0000], [0.0000, 0.0000, 0.0000]], "magmom_total_mub_per_atom": 0.000, "total_energy_ev_per_atom": -1.274, "crystal_system": "triclinic", "formation_energy_ev_per_atom": -0.264, "space_group": "No. 2"}

***

What did the second record say?
{"formula": "VTcBr", "functional": "PBE-GGA", "state": "optimized geometry", "cell": [[-0.5962, 2.1113, 2.3111], [-5.9700, 2.1087, -1.2758], [-0.3706, -3.1161, 0.5541]], "species": ["Tc", "Br", "V"], "fractional_positions": [[0.6125, 0.2308, 0.9308], [0.7604, 0.7898, 0.7834], [0.1969, 0.4779, 0.3465]], "magmom_total_mub_per_atom": 0.000, "e_above_lowest_polymorph_ev_per_fu": 0.00, "formation_energy_uncorrected_mev_per_atom": 51.1, "total_energy_ev_per_atom": -7.001, "crystal_system": "trigonal", "space_group": "No. 160"}